# Er7Tm2

A relaxed Er7Tm2 crystal (PBE, the Alexandria database).

* calculated formation energy: 0.3 eV per formula unit
* V: 272 Å³/f.u.
* SG: P-31m
* excess energy over the best structure of this formula in the dataset: 0.0 meV per atom
* total moment: 0.00 Bohr magnetons per cell
* crystal system: trigonal

Lattice parameters (Å, degrees): 6.051 6.051 8.569 90.00 90.00 120.00
Atoms (fractional coordinates):
Er 0.000 0.000 0.000
Er 0.000 0.333 0.667
Er 0.000 0.667 0.333
Er 0.333 0.000 0.667
Er 0.333 0.333 0.333
Er 0.667 0.000 0.333
Er 0.667 0.667 0.667
Tm 0.333 0.667 0.000
Tm 0.667 0.333 0.000

=====

# Er13Tm2

A relaxed Er13Tm2 crystal (PBE, the Alexandria database).

* calculated formation energy: 1.1 eV per formula unit
* V: 454 Å³/f.u.
* SG: P-1
* excess energy over the best structure of this formula in the dataset: 0.0 meV per atom
* total moment: 0.00 Bohr magnetons per cell
* crystal system: triclinic

Lattice parameters (Å, degrees): 6.498 8.824 8.824 65.80 81.39 81.39
Atoms (fractional coordinates):
Er 0.000 0.000 0.000
Er 0.105 0.747 0.451
Er 0.197 0.200 0.202
Er 0.289 0.981 0.625
Er 0.312 0.642 0.951
Er 0.398 0.402 0.399
Er 0.486 0.837 0.170
Er 0.514 0.163 0.830
Er 0.602 0.598 0.601
Er 0.688 0.358 0.049
Er 0.711 0.019 0.375
Er 0.803 0.800 0.798
Er 0.895 0.253 0.549
Tm 0.095 0.416 0.786
Tm 0.905 0.584 0.214

=====

# Er7Tm

A relaxed Er7Tm crystal (PBE, the Alexandria database).

* calculated formation energy: 0.2 eV per formula unit
* V: 241 Å³/f.u.
* SG: Fm-3m
* total moment: 0.00 Bohr magnetons per cell
* crystal system: cubic

Lattice parameters (Å, degrees): 6.987 6.987 6.987 60.00 60.00 60.00
Atoms (fractional coordinates):
Er 0.000 0.000 0.000
Er 0.000 0.000 0.500
Er 0.000 0.500 0.000
Er 0.000 0.500 0.500
Er 0.500 0.000 0.000
Er 0.500 0.000 0.500
Er 0.500 0.500 0.000
Tm 0.500 0.500 0.500

=====

# ErTm6

A relaxed ErTm6 crystal (PBE, the Alexandria database).

* calculated formation energy: 1.9 eV per formula unit
* V: 221 Å³/f.u.
* SG: P4/nbm
* excess energy over the best structure of this formula in the dataset: 0.0 meV per atom
* total moment: 0.01 Bohr magnetons per cell
* crystal system: tetragonal

Lattice parameters (Å, degrees): 6.393 6.393 10.797 90.00 90.00 90.00
Atoms (fractional coordinates):
Er 0.250 0.750 0.000
Er 0.750 0.250 0.000
Tm 0.081 0.581 0.363
Tm 0.081 0.919 0.637
Tm 0.250 0.250 0.141
Tm 0.250 0.250 0.859
Tm 0.419 0.581 0.637
Tm 0.419 0.919 0.363
Tm 0.581 0.081 0.637
Tm 0.581 0.419 0.363
Tm 0.750 0.750 0.141
Tm 0.750 0.750 0.859
Tm 0.919 0.081 0.363
Tm 0.919 0.419 0.637

=====

# ErTm6

A relaxed ErTm6 crystal (PBE, the Alexandria database).

* calculated formation energy: 11.2 eV per formula unit
* V: 261 Å³/f.u.
* SG: Im-3m
* excess energy over the best structure of this formula in the dataset: 1331.7 meV per atom
* total moment: 0.00 Bohr magnetons per cell
* crystal system: cubic

Lattice parameters (Å, degrees): 8.047 8.047 8.047 90.00 90.00 90.00
Atoms (fractional coordinates):
Er 0.000 0.000 0.000
Er 0.500 0.500 0.500
Tm 0.000 0.250 0.500
Tm 0.000 0.500 0.250
Tm 0.000 0.500 0.750
Tm 0.000 0.750 0.500
Tm 0.250 0.000 0.500
Tm 0.250 0.500 0.000
Tm 0.500 0.000 0.250
Tm 0.500 0.000 0.750
Tm 0.500 0.250 0.000
Tm 0.500 0.750 0.000
Tm 0.750 0.000 0.500
Tm 0.750 0.500 0.000

=====

# ErTm3

A relaxed ErTm3 crystal (PBE, the Alexandria database).

* calculated formation energy: 0.1 eV per formula unit
* V: 120 Å³/f.u.
* SG: I4/mmm
* excess energy over the best structure of this formula in the dataset: 32.5 meV per atom
* total moment: 0.00 Bohr magnetons per cell
* crystal system: tetragonal

Lattice parameters (Å, degrees): 4.925 4.925 9.869 90.00 90.00 90.00
Atoms (fractional coordinates):
Er 0.000 0.000 0.000
Er 0.500 0.500 0.500
Tm 0.000 0.000 0.500
Tm 0.000 0.500 0.250
Tm 0.000 0.500 0.750
Tm 0.500 0.000 0.250
Tm 0.500 0.000 0.750
Tm 0.500 0.500 0.000

=====

# ErTmU

A relaxed ErTmU crystal (PBE, the Alexandria database).

* calculated formation energy: 0.6 eV per formula unit
* V: 84 Å³/f.u.
* SG: C2/m
* total moment: 6.11 Bohr magnetons per cell
* crystal system: monoclinic

Lattice parameters (Å, degrees): 16.878 3.602 5.598 90.00 98.07 90.00
Atoms (fractional coordinates):
Er 0.069 0.000 0.291
Er 0.431 0.500 0.709
Er 0.569 0.500 0.291
Er 0.931 0.000 0.709
Tm 0.111 0.500 0.809
Tm 0.389 0.000 0.191
Tm 0.611 0.000 0.809
Tm 0.889 0.500 0.191
U 0.241 0.500 0.339
U 0.259 0.000 0.661
U 0.741 0.000 0.339
U 0.759 0.500 0.661

=====

# Er2TmU

A relaxed Er2TmU crystal (PBE, the Alexandria database).

* calculated formation energy: 1.7 eV per formula unit
* V: 111 Å³/f.u.
* SG: R-3m
* total moment: 6.05 Bohr magnetons per cell
* crystal system: trigonal

Lattice parameters (Å, degrees): 3.262 3.262 36.156 90.00 90.00 120.00
Atoms (fractional coordinates):
Er 0.000 0.000 0.088
Er 0.000 0.000 0.912
Er 0.333 0.667 0.579
Er 0.333 0.667 0.755
Er 0.667 0.333 0.245
Er 0.667 0.333 0.421
Tm 0.000 0.000 0.500
Tm 0.333 0.667 0.167
Tm 0.667 0.333 0.833
U 0.000 0.000 0.000
U 0.333 0.667 0.667
U 0.667 0.333 0.333

=====

# ErTm2U

A relaxed ErTm2U crystal (PBE, the Alexandria database).

* calculated formation energy: 1.7 eV per formula unit
* V: 110 Å³/f.u.
* SG: R-3m
* total moment: 5.97 Bohr magnetons per cell
* crystal system: trigonal

Lattice parameters (Å, degrees): 3.255 3.255 36.094 90.00 90.00 120.00
Atoms (fractional coordinates):
Er 0.000 0.000 0.000
Er 0.333 0.667 0.667
Er 0.667 0.333 0.333
Tm 0.000 0.000 0.412
Tm 0.000 0.000 0.588
Tm 0.333 0.667 0.079
Tm 0.333 0.667 0.254
Tm 0.667 0.333 0.746
Tm 0.667 0.333 0.921
U 0.000 0.000 0.500
U 0.333 0.667 0.167
U 0.667 0.333 0.833

=====

# ErTmW4

A relaxed ErTmW4 crystal (PBE, the Alexandria database).

* calculated formation energy: 0.6 eV per formula unit
* V: 119 Å³/f.u.
* SG: F-43m
* total moment: 0.00 Bohr magnetons per cell
* crystal system: cubic

Lattice parameters (Å, degrees): 5.518 5.518 5.518 60.00 60.00 60.00
Atoms (fractional coordinates):
Er 0.000 0.000 0.000
Tm 0.750 0.750 0.750
W 0.375 0.375 0.375
W 0.375 0.375 0.875
W 0.375 0.875 0.375
W 0.875 0.375 0.375

=====

# Er2TmW

A relaxed Er2TmW crystal (PBE, the Alexandria database).

* calculated formation energy: 3.1 eV per formula unit
* V: 101 Å³/f.u.
* SG: R-3m
* total moment: 0.00 Bohr magnetons per cell
* crystal system: trigonal

Lattice parameters (Å, degrees): 3.192 3.192 34.215 90.00 90.00 120.00
Atoms (fractional coordinates):
Er 0.000 0.000 0.082
Er 0.000 0.000 0.918
Er 0.333 0.667 0.585
Er 0.333 0.667 0.749
Er 0.667 0.333 0.251
Er 0.667 0.333 0.415
Tm 0.000 0.000 0.500
Tm 0.333 0.667 0.167
Tm 0.667 0.333 0.833
W 0.000 0.000 0.000
W 0.333 0.667 0.667
W 0.667 0.333 0.333

=====

# Y4Er3Tm5

A relaxed Y4Er3Tm5 crystal (PBE, the Alexandria database).

* calculated formation energy: 0.3 eV per formula unit
* V: 370 Å³/f.u.
* SG: P-1
* excess energy over the best structure of this formula in the dataset: 0.0 meV per atom
* total moment: 0.00 Bohr magnetons per cell
* crystal system: triclinic

Lattice parameters (Å, degrees): 6.093 7.052 8.617 89.94 89.95 89.96
Atoms (fractional coordinates):
Y 0.166 0.251 0.332
Y 0.332 0.000 0.668
Y 0.668 0.000 0.332
Y 0.834 0.749 0.668
Er 0.000 0.500 0.000
Er 0.168 0.749 0.332
Er 0.832 0.251 0.668
Tm 0.000 0.000 0.000
Tm 0.334 0.500 0.668
Tm 0.499 0.749 0.000
Tm 0.501 0.251 0.000
Tm 0.666 0.500 0.332

=====

Which value of calculated formation energy does entry 1 give?
0.3 eV per formula unit

=====

Which value of calculated formation energy does entry 6 give?
0.1 eV per formula unit

=====

Among the records above, which one has the highest calculated formation energy?
number 5

=====

calculated formation energy of number 9 (ErTm2U)?
1.7 eV per formula unit